Computed, not measured: a geometry-optimized RbThCrN4 structure at the GGA-PBE level of DFT.

Structure (POSCAR):
```
RbThCrN4
1.0
6.073 0.000 0.000
0.000 5.651 0.000
-2.201 0.000 7.752
Rb Th Cr N
2 2 2 8
direct
0.216 0.250 0.428 Rb
0.784 0.750 0.572 Rb
0.265 0.250 0.942 Th
0.735 0.750 0.058 Th
0.270 0.750 0.159 Cr
0.730 0.250 0.841 Cr
0.084 0.750 0.290 N
0.086 0.750 0.956 N
0.454 0.510 0.171 N
0.454 0.990 0.171 N
0.546 0.010 0.829 N
0.546 0.490 0.829 N
0.914 0.250 0.044 N
0.916 0.250 0.710 N
```

Computed, not measured: a geometry-optimized RbTlCr2N structure at the GGA-PBE level of DFT.

Structure (POSCAR):
```
RbTlCr2N
1.0
4.040 0.000 0.000
0.000 4.040 0.000
0.000 0.000 6.031
Rb Tl Cr N
1 1 2 1
direct
0.000 0.000 0.000 Rb
0.500 0.500 0.000 Tl
0.000 0.500 0.500 Cr
0.500 0.000 0.500 Cr
0.500 0.500 0.500 N
```

Computed, not measured: a geometry-optimized RbZrCrN2 structure at the GGA-PBE level of DFT.

Structure (POSCAR):
```
RbZrCrN2
1.0
4.387 0.000 0.000
0.000 4.387 0.000
0.000 0.000 5.551
Rb Zr Cr N
1 1 1 2
direct
0.000 0.000 0.000 Rb
0.500 0.500 0.500 Zr
0.500 0.500 0.000 Cr
0.000 0.500 0.500 N
0.500 0.000 0.500 N
```

Computed, not measured: a geometry-optimized RbZr2CrN structure at the GGA-PBE level of DFT.

Structure (POSCAR):
```
RbZr2CrN
1.0
5.033 0.000 0.000
0.000 5.033 0.000
0.000 0.000 4.202
Rb Zr Cr N
1 2 1 1
direct
0.000 0.000 0.000 Rb
0.000 0.500 0.000 Zr
0.500 0.000 0.000 Zr
0.000 0.000 0.500 Cr
0.500 0.500 0.500 N
```

Number 1: D(E_F) 2.01 states/eV/f.u., formation energy from raw total energies -4.42 eV per formula unit. Number 2: D(E_F) 7.05 states/eV/f.u., formation energy from raw total energies 5.45 eV per formula unit. Number 3: D(E_F) 3.13 states/eV/f.u., formation energy from raw total energies 4.22 eV per formula unit. Number 4: D(E_F) 8.63 states/eV/f.u., formation energy from raw total energies 16.10 eV per formula unit.